A relaxed TbPm2Sm3Er6 crystal, computed with GGA-PBE.

Summary:
- Total magnetization: 0.00 μB/f.u.
- Energy of formation: 15 meV/atom

CIF file:
```
data_TbPm2Sm3Er6
_space_group_name_H-M_alt 'P 1'
_space_group_IT_number 1
_space_group_name_Hall 'P 1'
_cell_length_a 6.183
_cell_length_b 6.183
_cell_length_c 11.737
_cell_angle_alpha 95.02
_cell_angle_beta 95.02
_cell_angle_gamma 119.98
loop_
_atom_site_label
_atom_site_type_symbol
_atom_site_fract_x
_atom_site_fract_y
_atom_site_fract_z
Pm1 Pm 0.667 0.333 0.000
Er1 Er 0.583 0.916 0.750
Er2 Er 0.249 0.249 0.750
Er3 Er 0.751 0.751 0.250
Er4 Er 0.916 0.583 0.750
Tb1 Tb 0.000 0.000 0.000
Sm1 Sm 0.833 0.167 0.500
Er5 Er 0.084 0.417 0.250
Sm2 Sm 0.500 0.500 0.500
Pm2 Pm 0.333 0.667 0.000
Er6 Er 0.417 0.084 0.250
Sm3 Sm 0.167 0.833 0.500
```

***

A relaxed KSbO2 crystal, computed with GGA-PBE.

Summary:
- Calculated total energy: -4.74 eV/atom
- Total magnetization: 0.00 μB/f.u.

CIF file:
```
data_KSbO2
_space_group_name_H-M_alt 'P 1'
_space_group_IT_number 1
_space_group_name_Hall 'P 1'
_cell_length_a 7.494
_cell_length_b 7.494
_cell_length_c 7.494
_cell_angle_alpha 27.73
_cell_angle_beta 27.73
_cell_angle_gamma 27.73
loop_
_atom_site_label
_atom_site_type_symbol
_atom_site_fract_x
_atom_site_fract_y
_atom_site_fract_z
K1 K 0.000 0.000 0.000
O1 O 0.114 0.114 0.114
Sb1 Sb 0.500 0.500 0.500
O2 O 0.886 0.886 0.886
```

***

A relaxed SrTa2W crystal, computed with GGA-PBE.

Summary:
- Total magnetization: 0.00 μB/f.u.
- Energy of formation: 775 meV/atom

CIF file:
```
data_SrTa2W
_space_group_name_H-M_alt 'P 1'
_space_group_IT_number 1
_space_group_name_Hall 'P 1'
_cell_length_a 2.830
_cell_length_b 2.830
_cell_length_c 10.499
_cell_angle_alpha 90.00
_cell_angle_beta 90.00
_cell_angle_gamma 90.00
loop_
_atom_site_label
_atom_site_type_symbol
_atom_site_fract_x
_atom_site_fract_y
_atom_site_fract_z
Ta1 Ta 0.000 0.000 0.462
Ta2 Ta 0.000 0.000 0.038
W1 W 0.500 0.500 0.250
Sr1 Sr 0.500 0.500 0.750
```

***

A relaxed CsP2HS crystal, computed with GGA-PBE.

Summary:
- Calculated total energy: -1.81 eV/atom
- Total magnetization: 7.15 μB/f.u.

CIF file:
```
data_CsP2HS
_space_group_name_H-M_alt 'P 1'
_space_group_IT_number 1
_space_group_name_Hall 'P 1'
_cell_length_a 6.267
_cell_length_b 6.267
_cell_length_c 5.768
_cell_angle_alpha 90.00
_cell_angle_beta 90.00
_cell_angle_gamma 90.00
loop_
_atom_site_label
_atom_site_type_symbol
_atom_site_fract_x
_atom_site_fract_y
_atom_site_fract_z
H1 H 0.500 0.500 0.500
Cs1 Cs 0.000 0.000 0.000
P1 P 0.500 0.000 0.000
S1 S 0.000 0.000 0.500
P2 P 0.000 0.500 0.000
```

***

A relaxed Zr2AgHPd crystal, computed with GGA-PBE.

Summary:
- Calculated total energy: -5.99 eV/atom
- Total magnetization: 0.00 μB/f.u.

CIF file:
```
data_Zr2AgHPd
_space_group_name_H-M_alt 'P 1'
_space_group_IT_number 1
_space_group_name_Hall 'P 1'
_cell_length_a 4.295
_cell_length_b 4.295
_cell_length_c 4.278
_cell_angle_alpha 90.00
_cell_angle_beta 90.00
_cell_angle_gamma 90.00
loop_
_atom_site_label
_atom_site_type_symbol
_atom_site_fract_x
_atom_site_fract_y
_atom_site_fract_z
Ag1 Ag 0.000 0.000 0.500
Zr1 Zr 0.500 0.000 0.000
Pd1 Pd 0.500 0.500 0.500
Zr2 Zr 0.000 0.500 0.000
H1 H 0.000 0.000 0.000
```

***

A relaxed TmHfHgRh crystal, computed with GGA-PBE.

Summary:
- Total magnetization: 0.00 μB/f.u.
- Energy of formation: -442 meV/atom

CIF file:
```
data_TmHfHgRh
_space_group_name_H-M_alt 'P 1'
_space_group_IT_number 1
_space_group_name_Hall 'P 1'
_cell_length_a 4.884
_cell_length_b 4.884
_cell_length_c 4.884
_cell_angle_alpha 60.00
_cell_angle_beta 60.00
_cell_angle_gamma 60.00
loop_
_atom_site_label
_atom_site_type_symbol
_atom_site_fract_x
_atom_site_fract_y
_atom_site_fract_z
Hf1 Hf 0.750 0.750 0.750
Rh1 Rh 0.500 0.500 0.500
Hg1 Hg 0.000 0.000 0.000
Tm1 Tm 0.250 0.250 0.250
```

***

A relaxed VCr2As crystal, computed with GGA-PBE.

Summary:
- Total magnetization: 1.89 μB/f.u.
- Energy of formation: -87 meV/atom

CIF file:
```
data_VCr2As
_space_group_name_H-M_alt 'P 1'
_space_group_IT_number 1
_space_group_name_Hall 'P 1'
_cell_length_a 3.175
_cell_length_b 4.013
_cell_length_c 4.013
_cell_angle_alpha 90.00
_cell_angle_beta 90.00
_cell_angle_gamma 90.00
loop_
_atom_site_label
_atom_site_type_symbol
_atom_site_fract_x
_atom_site_fract_y
_atom_site_fract_z
Cr1 Cr 0.000 0.000 0.500
As1 As 0.500 0.000 0.000
V1 V 0.500 0.500 0.500
Cr2 Cr 0.000 0.500 0.000
```

***

A relaxed TaPtCl2 crystal, computed with GGA-PBE.

Summary:
- Calculated total energy: -5.95 eV/atom
- Total magnetization: 0.00 μB/f.u.

CIF file:
```
data_TaPtCl2
_space_group_name_H-M_alt 'P 1'
_space_group_IT_number 1
_space_group_name_Hall 'P 1'
_cell_length_a 3.945
_cell_length_b 3.945
_cell_length_c 8.597
_cell_angle_alpha 75.64
_cell_angle_beta 75.64
_cell_angle_gamma 47.07
loop_
_atom_site_label
_atom_site_type_symbol
_atom_site_fract_x
_atom_site_fract_y
_atom_site_fract_z
Ta1 Ta 0.313 0.313 0.297
Cl1 Cl 0.906 0.906 0.069
Cl2 Cl 0.743 0.743 0.667
Pt1 Pt 0.538 0.538 0.468
```

***

A relaxed Na6In2Pb crystal, computed with GGA-PBE.

Summary:
- Total magnetization: 0.00 μB/f.u.
- Energy of formation: -98 meV/atom

CIF file:
```
data_Na6In2Pb
_space_group_name_H-M_alt 'P 1'
_space_group_IT_number 1
_space_group_name_Hall 'P 1'
_cell_length_a 3.261
_cell_length_b 9.470
_cell_length_c 9.470
_cell_angle_alpha 60.13
_cell_angle_beta 89.98
_cell_angle_gamma 89.98
loop_
_atom_site_label
_atom_site_type_symbol
_atom_site_fract_x
_atom_site_fract_y
_atom_site_fract_z
In1 In 0.000 0.333 0.333
Na1 Na 0.500 0.333 0.667
Pb1 Pb 0.000 0.000 0.000
Na2 Na 0.502 0.332 0.000
Na3 Na 0.502 0.000 0.332
In2 In 0.000 0.667 0.667
Na4 Na 0.500 0.667 0.333
Na5 Na 0.498 0.668 0.000
Na6 Na 0.498 0.000 0.668
```

***

A relaxed Tb2Pd2Se crystal, computed with GGA-PBE.

Summary:
- Calculated total energy: -5.72 eV/atom
- Total magnetization: 0.00 μB/f.u.

CIF file:
```
data_Tb2Pd2Se
_space_group_name_H-M_alt 'P 1'
_space_group_IT_number 1
_space_group_name_Hall 'P 1'
_cell_length_a 4.624
_cell_length_b 4.624
_cell_length_c 7.402
_cell_angle_alpha 84.14
_cell_angle_beta 109.75
_cell_angle_gamma 128.49
loop_
_atom_site_label
_atom_site_type_symbol
_atom_site_fract_x
_atom_site_fract_y
_atom_site_fract_z
Se1 Se 0.000 0.000 0.000
Tb1 Tb 0.857 0.391 0.248
Tb2 Tb 0.143 0.609 0.752
Pd1 Pd 0.689 0.860 0.549
Pd2 Pd 0.311 0.140 0.451
```

***

A relaxed Ba2YCu crystal, computed with GGA-PBE.

Summary:
- Total magnetization: 0.00 μB/f.u.
- Energy of formation: 354 meV/atom

CIF file:
```
data_Ba2YCu
_space_group_name_H-M_alt 'P 1'
_space_group_IT_number 1
_space_group_name_Hall 'P 1'
_cell_length_a 9.580
_cell_length_b 6.051
_cell_length_c 4.107
_cell_angle_alpha 89.99
_cell_angle_beta 64.62
_cell_angle_gamma 130.27
loop_
_atom_site_label
_atom_site_type_symbol
_atom_site_fract_x
_atom_site_fract_y
_atom_site_fract_z
Cu1 Cu 0.000 0.500 0.500
Ba1 Ba 0.000 0.000 0.000
Ba2 Ba 0.500 0.000 0.500
Y1 Y 0.500 0.500 0.000
```

***

A relaxed TeH2Au crystal, computed with GGA-PBE.

Summary:
- Calculated total energy: -2.83 eV/atom
- Total magnetization: 0.00 μB/f.u.

CIF file:
```
data_TeH2Au
_space_group_name_H-M_alt 'P 1'
_space_group_IT_number 1
_space_group_name_Hall 'P 1'
_cell_length_a 5.566
_cell_length_b 5.566
_cell_length_c 5.588
_cell_angle_alpha 60.13
_cell_angle_beta 60.13
_cell_angle_gamma 90.00
loop_
_atom_site_label
_atom_site_type_symbol
_atom_site_fract_x
_atom_site_fract_y
_atom_site_fract_z
Te1 Te 0.500 0.500 0.000
Au1 Au 0.000 0.000 0.000
H1 H 0.817 0.125 0.250
H2 H 0.375 0.183 0.750
Te2 Te 0.250 0.750 0.500
H3 H 0.933 0.625 0.250
Au2 Au 0.750 0.250 0.500
H4 H 0.875 0.067 0.750
```